A relaxed Zr2As2O5 crystal, computed with PBE.

Cell lengths 4.1071, 4.1071, 6.2911 Å; angles 90.00, 90.00, 90.00 degrees
Space group P4/mmm (No. 123)
Asymmetric unit:
1 Zr 0.0000 0.0000 0.0000
2 Zr 0.0000 0.0000 0.5000
3 As 0.5000 0.5000 0.2052
4 O 0.0000 0.5000 0.2482
5 O 0.5000 0.5000 0.5000

Values from the calculation:
- VASP energy (Ry per atom) = -0.49768
- magnetic moment (μB/cell) = 0.00